Here is a geometry-optimized CeCuNi structure from Alexandria via LeMat-Bulk. Energies are from PBE.

Calculated values
SG = No. 70
Energy of formation from the pure elements = 0.04 eV per atom
Theoretical density = 7.9 g/cm3

Structure (CIF):
```
data_CeCuNi
_cell_length_a 6.943
_cell_length_b 6.943
_cell_length_c 6.281
_cell_angle_alpha 109.13
_cell_angle_beta 109.13
_cell_angle_gamma 114.02
_space_group_name_H-M_alt 'P 1'
_space_group_IT_number 1
_space_group_name_Hall 'P 1'
loop_
_atom_site_label
_atom_site_type_symbol
_atom_site_fract_x
_atom_site_fract_y
_atom_site_fract_z
Ce1 Ce 0.625 0.375 0.250
Ce2 Ce 0.125 0.375 0.750
Ce3 Ce 0.625 0.375 0.750
Ce4 Ce 0.625 0.875 0.250
Ni1 Ni 0.068 0.932 0.500
Ni2 Ni 0.818 0.182 0.000
Ni3 Ni 0.432 0.568 0.500
Ni4 Ni 0.182 0.818 0.000
Cu1 Cu 0.128 0.628 0.256
Cu2 Cu 0.122 0.122 0.244
Cu3 Cu 0.878 0.878 0.756
Cu4 Cu 0.372 0.872 0.744
```

---

Here is a geometry-optimized CeCuNi structure from Alexandria via LeMat-Bulk. Energies are from PBE.

Calculated values
SG = No. 187
Energy of formation from the pure elements = -0.22 eV per atom
Theoretical density = 8.0 g/cm3

Structure (CIF):
```
data_CeCuNi
_cell_length_a 3.436
_cell_length_b 4.267
_cell_length_c 4.267
_cell_angle_alpha 120.00
_cell_angle_beta 90.00
_cell_angle_gamma 90.00
_space_group_name_H-M_alt 'P 1'
_space_group_IT_number 1
_space_group_name_Hall 'P 1'
loop_
_atom_site_label
_atom_site_type_symbol
_atom_site_fract_x
_atom_site_fract_y
_atom_site_fract_z
Ni1 Ni 0.167 0.000 0.000
Cu1 Cu 0.166 0.333 0.667
Ce1 Ce 0.667 0.667 0.333
```

---

Here is a geometry-optimized Ce3Cu2Ni7 structure from Alexandria via LeMat-Bulk. Energies are from PBE.

Calculated values
SG = No. 166
Energy of formation from the pure elements = -0.34 eV per atom
Theoretical density = 8.9 g/cm3

Structure (CIF):
```
data_Ce3Cu2Ni7
_cell_length_a 5.012
_cell_length_b 5.012
_cell_length_c 8.705
_cell_angle_alpha 73.27
_cell_angle_beta 73.27
_cell_angle_gamma 60.00
_space_group_name_H-M_alt 'P 1'
_space_group_IT_number 1
_space_group_name_Hall 'P 1'
loop_
_atom_site_label
_atom_site_type_symbol
_atom_site_fract_x
_atom_site_fract_y
_atom_site_fract_z
Ce1 Ce 0.000 0.000 0.000
Ce2 Ce 0.860 0.860 0.419
Ce3 Ce 0.140 0.140 0.581
Cu1 Cu 0.667 0.667 0.998
Cu2 Cu 0.333 0.333 0.002
Ni1 Ni 0.500 0.500 0.500
Ni2 Ni 0.916 0.418 0.248
Ni3 Ni 0.418 0.916 0.248
Ni4 Ni 0.418 0.418 0.248
Ni5 Ni 0.084 0.582 0.752
Ni6 Ni 0.582 0.582 0.752
Ni7 Ni 0.582 0.084 0.752
```

---

Here is a geometry-optimized Ce2CuNi structure from Alexandria via LeMat-Bulk. Energies are from PBE.

Calculated values
SG = No. 123
Energy of formation from the pure elements = -0.14 eV per atom
Theoretical density = 8.1 g/cm3

Structure (CIF):
```
data_Ce2CuNi
_cell_length_a 3.526
_cell_length_b 3.526
_cell_length_c 6.623
_cell_angle_alpha 90.00
_cell_angle_beta 90.00
_cell_angle_gamma 90.00
_space_group_name_H-M_alt 'P 1'
_space_group_IT_number 1
_space_group_name_Hall 'P 1'
loop_
_atom_site_label
_atom_site_type_symbol
_atom_site_fract_x
_atom_site_fract_y
_atom_site_fract_z
Ni1 Ni 0.500 0.500 0.500
Cu1 Cu 0.500 0.500 0.000
Ce1 Ce 0.000 0.000 0.725
Ce2 Ce 0.000 0.000 0.275
```

---

Here is a geometry-optimized Ce2Cu5Ni5 structure from Alexandria via LeMat-Bulk. Energies are from PBE.

Calculated values
SG = No. 47
Energy of formation from the pure elements = -0.23 eV per atom
Theoretical density = 8.5 g/cm3

Structure (CIF):
```
data_Ce2Cu5Ni5
_cell_length_a 3.967
_cell_length_b 5.045
_cell_length_c 8.677
_cell_angle_alpha 90.00
_cell_angle_beta 90.00
_cell_angle_gamma 90.00
_space_group_name_H-M_alt 'P 1'
_space_group_IT_number 1
_space_group_name_Hall 'P 1'
loop_
_atom_site_label
_atom_site_type_symbol
_atom_site_fract_x
_atom_site_fract_y
_atom_site_fract_z
Ni1 Ni 0.500 0.500 0.500
Ni2 Ni 0.500 0.749 0.251
Ni3 Ni 0.500 0.251 0.749
Ni4 Ni 0.500 0.251 0.251
Ni5 Ni 0.500 0.749 0.749
Cu1 Cu 0.000 0.500 0.333
Cu2 Cu 0.000 0.000 0.831
Cu3 Cu 0.000 0.000 0.169
Cu4 Cu 0.000 0.500 0.667
Cu5 Cu 0.500 0.000 0.000
Ce1 Ce 0.000 0.500 0.000
Ce2 Ce 0.000 0.000 0.500
```

---

Here is a geometry-optimized Ce3Cu4Ni4 structure from Alexandria via LeMat-Bulk. Energies are from PBE.

Calculated values
SG = No. 71
Energy of formation from the pure elements = -0.23 eV per atom
Theoretical density = 8.3 g/cm3

Structure (CIF):
```
data_Ce3Cu4Ni4
_cell_length_a 3.892
_cell_length_b 6.960
_cell_length_c 7.818
_cell_angle_alpha 116.43
_cell_angle_beta 104.41
_cell_angle_gamma 90.00
_space_group_name_H-M_alt 'P 1'
_space_group_IT_number 1
_space_group_name_Hall 'P 1'
loop_
_atom_site_label
_atom_site_type_symbol
_atom_site_fract_x
_atom_site_fract_y
_atom_site_fract_z
Ce1 Ce 0.129 0.129 0.257
Ce2 Ce 0.871 0.871 0.743
Ce3 Ce 0.000 0.500 0.000
Cu1 Cu 0.326 0.138 0.652
Cu2 Cu 0.674 0.486 0.348
Cu3 Cu 0.674 0.862 0.348
Cu4 Cu 0.326 0.514 0.652
Ni1 Ni 0.223 0.723 0.447
Ni2 Ni 0.777 0.277 0.553
Ni3 Ni 0.500 0.815 0.000
Ni4 Ni 0.500 0.185 0.000
```